[1]
# PBE La2NdDyBi4, optimized geometry
data_La2NdDyBi4
_chemical_formula_sum 'La2 Nd1 Dy1 Bi4'
_cell_length_a 8.003
_cell_length_b 4.632
_cell_length_c 8.015
_cell_angle_alpha 90.00
_cell_angle_beta 109.51
_cell_angle_gamma 90.00
_space_group_name_H-M_alt 'P 1 2/m 1'
_space_group_IT_number 10
loop_
_space_group_symop_operation_xyz
'x,y,z'
'-x,-y,-z'
'-x,y,-z'
'x,-y,z'
loop_
_atom_site_label
_atom_site_fract_x
_atom_site_fract_y
_atom_site_fract_z
_atom_site_occupancy
La1 0.000 0.000 0.000 1
La2 0.000 0.500 0.500 1
Nd1 0.500 0.000 0.500 1
Dy1 0.500 0.500 0.000 1
Bi1 0.257 0.500 0.249 1
Bi2 0.260 0.000 0.757 1
# Density in g/cm3: 8.4
# Raw total energy in eV per atom: -5.320
# Magnetic moment in μB per formula unit: 0.00
# Calculated formation energy in eV/atom: -0.98
# DOS(E_F) in states/eV/cell: 1.0

***

[2]
# PBE LaPm2DyBi5, optimized geometry
data_LaPm2DyBi5
_chemical_formula_sum 'La1 Pm2 Dy1 Bi5'
_cell_length_a 5.420
_cell_length_b 5.420
_cell_length_c 12.190
_cell_angle_alpha 90.00
_cell_angle_beta 90.00
_cell_angle_gamma 90.00
_space_group_name_H-M_alt 'P 4/m m m'
_space_group_IT_number 123
_space_group_name_Hall '-P 4 2'
loop_
_atom_site_label
_atom_site_fract_x
_atom_site_fract_y
_atom_site_fract_z
_atom_site_occupancy
La1 0.000 0.000 0.000 1
Pm1 0.500 0.500 0.270 1
Dy1 0.000 0.000 0.500 1
Bi1 0.000 0.000 0.251 1
Bi2 0.000 0.500 0.500 1
Bi3 0.500 0.500 0.000 1
# Density in g/cm3: 7.6
# Raw total energy in eV per atom: -4.433
# Magnetic moment in μB per formula unit: 0.00
# Calculated formation energy in eV/atom: -0.16
# DOS(E_F) in states/eV/cell: 7.3

***

[3]
# PBE LaPrDy2Bi4, optimized geometry
data_LaPrDy2Bi4
_chemical_formula_sum 'La1 Pr1 Dy2 Bi4'
_cell_length_a 7.912
_cell_length_b 4.584
_cell_length_c 7.933
_cell_angle_alpha 90.00
_cell_angle_beta 109.52
_cell_angle_gamma 90.00
_space_group_name_H-M_alt 'P 1 2/m 1'
_space_group_IT_number 10
loop_
_space_group_symop_operation_xyz
'x,y,z'
'-x,-y,-z'
'-x,y,-z'
'x,-y,z'
loop_
_atom_site_label
_atom_site_fract_x
_atom_site_fract_y
_atom_site_fract_z
_atom_site_occupancy
La1 0.000 0.000 0.000 1
Pr1 0.000 0.500 0.500 1
Dy1 0.500 0.000 0.500 1
Dy2 0.500 0.500 0.000 1
Bi1 0.261 0.000 0.753 1
Bi2 0.262 0.500 0.255 1
# Density in g/cm3: 8.8
# Raw total energy in eV per atom: -5.235
# Magnetic moment in μB per formula unit: 0.00
# Calculated formation energy in eV/atom: -0.93
# DOS(E_F) in states/eV/cell: 1.1

***

[4]
# PBE La2PrDyBi5, optimized geometry
data_La2PrDyBi5
_chemical_formula_sum 'La2 Pr1 Dy1 Bi5'
_cell_length_a 5.446
_cell_length_b 5.446
_cell_length_c 12.154
_cell_angle_alpha 90.00
_cell_angle_beta 90.00
_cell_angle_gamma 90.00
_space_group_name_H-M_alt 'P 4/m m m'
_space_group_IT_number 123
_space_group_name_Hall '-P 4 2'
loop_
_atom_site_label
_atom_site_fract_x
_atom_site_fract_y
_atom_site_fract_z
_atom_site_occupancy
La1 0.000 0.000 0.222 1
Pr1 0.500 0.500 0.500 1
Dy1 0.500 0.500 0.000 1
Bi1 0.000 0.000 0.500 1
Bi2 0.000 0.500 0.000 1
Bi3 0.500 0.500 0.250 1
# Density in g/cm3: 7.5
# Raw total energy in eV per atom: -4.582
# Magnetic moment in μB per formula unit: 0.00
# Calculated formation energy in eV/atom: -0.29
# DOS(E_F) in states/eV/cell: 7.8

***

[5]
# PBE La2DyPuBi4, optimized geometry
data_La2DyPuBi4
_chemical_formula_sum 'La2 Dy1 Pu1 Bi4'
_cell_length_a 7.965
_cell_length_b 4.620
_cell_length_c 7.986
_cell_angle_alpha 90.00
_cell_angle_beta 109.51
_cell_angle_gamma 90.00
_space_group_name_H-M_alt 'P 1 2/m 1'
_space_group_IT_number 10
loop_
_space_group_symop_operation_xyz
'x,y,z'
'-x,-y,-z'
'-x,y,-z'
'x,-y,z'
loop_
_atom_site_label
_atom_site_fract_x
_atom_site_fract_y
_atom_site_fract_z
_atom_site_occupancy
La1 0.000 0.000 0.000 1
La2 0.000 0.500 0.500 1
Dy1 0.500 0.000 0.500 1
Pu1 0.500 0.500 0.000 1
Bi1 0.262 0.000 0.753 1
Bi2 0.262 0.500 0.255 1
# Density in g/cm3: 9.1
# Raw total energy in eV per atom: -6.350
# Magnetic moment in μB per formula unit: 5.05
# Calculated formation energy in eV/atom: -0.81
# DOS(E_F) in states/eV/cell: 17.7

***

[6]
# PBE LaDyPu2Bi4, optimized geometry
data_LaDyPu2Bi4
_chemical_formula_sum 'La1 Dy1 Pu2 Bi4'
_cell_length_a 7.893
_cell_length_b 4.577
_cell_length_c 7.932
_cell_angle_alpha 90.00
_cell_angle_beta 109.41
_cell_angle_gamma 90.00
_space_group_name_H-M_alt 'P 1 2/m 1'
_space_group_IT_number 10
loop_
_space_group_symop_operation_xyz
'x,y,z'
'-x,-y,-z'
'-x,y,-z'
'x,-y,z'
loop_
_atom_site_label
_atom_site_fract_x
_atom_site_fract_y
_atom_site_fract_z
_atom_site_occupancy
La1 0.000 0.000 0.000 1
Dy1 0.000 0.500 0.500 1
Pu1 0.500 0.000 0.500 1
Pu2 0.500 0.500 0.000 1
Bi1 0.251 0.000 0.744 1
Bi2 0.256 0.500 0.259 1
# Density in g/cm3: 10.0
# Raw total energy in eV per atom: -7.330
# Magnetic moment in μB per formula unit: 0.10
# Calculated formation energy in eV/atom: -0.61
# DOS(E_F) in states/eV/cell: 35.5

***

[7]
# PBE LaDyBiSe, optimized geometry
data_LaDyBiSe
_chemical_formula_sum 'La3 Dy3 Bi3 Se3'
_cell_length_a 4.2762
_cell_length_b 4.2762
_cell_length_c 23.2040
_cell_angle_alpha 90.00
_cell_angle_beta 90.00
_cell_angle_gamma 120.00
_space_group_name_H-M_alt 'R 3 m'
_space_group_IT_number 160
_space_group_name_Hall 'R 3 -2"'
loop_
_atom_site_label
_atom_site_fract_x
_atom_site_fract_y
_atom_site_fract_z
_atom_site_occupancy
La1 0.0000 0.0000 0.0000 1
Dy1 0.0000 0.0000 0.8370 1
Bi1 0.0000 0.0000 0.4240 1
Se1 0.0000 0.0000 0.2450 1
# Density in g/cm3: 8.0
# Raw total energy in eV per atom: -5.514
# Magnetic moment in μB per formula unit: 0.61
# DOS(E_F) in states/eV/cell: 5.2

***

[8]
# PBE LaSmDy2Bi4, optimized geometry
data_LaSmDy2Bi4
_chemical_formula_sum 'La1 Sm1 Dy2 Bi4'
_cell_length_a 7.881
_cell_length_b 4.563
_cell_length_c 7.895
_cell_angle_alpha 90.00
_cell_angle_beta 109.51
_cell_angle_gamma 90.00
_space_group_name_H-M_alt 'P 1 2/m 1'
_space_group_IT_number 10
loop_
_space_group_symop_operation_xyz
'x,y,z'
'-x,-y,-z'
'-x,y,-z'
'x,-y,z'
loop_
_atom_site_label
_atom_site_fract_x
_atom_site_fract_y
_atom_site_fract_z
_atom_site_occupancy
La1 0.000 0.000 0.000 1
Sm1 0.000 0.500 0.500 1
Dy1 0.500 0.000 0.500 1
Dy2 0.500 0.500 0.000 1
Bi1 0.258 0.000 0.749 1
Bi2 0.260 0.500 0.257 1
# Density in g/cm3: 9.0
# Raw total energy in eV per atom: -5.218
# Magnetic moment in μB per formula unit: 0.00
# Calculated formation energy in eV/atom: -0.92
# DOS(E_F) in states/eV/cell: 1.2

***

[9]
# PBE La2SmDyBi4, optimized geometry
data_La2SmDyBi4
_chemical_formula_sum 'La2 Sm1 Dy1 Bi4'
_cell_length_a 7.977
_cell_length_b 4.619
_cell_length_c 7.994
_cell_angle_alpha 90.00
_cell_angle_beta 109.52
_cell_angle_gamma 90.00
_space_group_name_H-M_alt 'P 1 2/m 1'
_space_group_IT_number 10
loop_
_space_group_symop_operation_xyz
'x,y,z'
'-x,-y,-z'
'-x,y,-z'
'x,-y,z'
loop_
_atom_site_label
_atom_site_fract_x
_atom_site_fract_y
_atom_site_fract_z
_atom_site_occupancy
La1 0.000 0.000 0.000 1
La2 0.000 0.500 0.500 1
Sm1 0.500 0.000 0.500 1
Dy1 0.500 0.500 0.000 1
Bi1 0.259 0.500 0.251 1
Bi2 0.261 0.000 0.756 1
# Density in g/cm3: 8.5
# Raw total energy in eV per atom: -5.309
# Magnetic moment in μB per formula unit: 0.00
# Calculated formation energy in eV/atom: -0.97
# DOS(E_F) in states/eV/cell: 1.1

***

[10]
# PBE LaTbDy2Bi4, optimized geometry
data_LaTbDy2Bi4
_chemical_formula_sum 'La1 Tb1 Dy2 Bi4'
_cell_length_a 7.859
_cell_length_b 4.547
_cell_length_c 7.862
_cell_angle_alpha 90.00
_cell_angle_beta 109.49
_cell_angle_gamma 90.00
_space_group_name_H-M_alt 'P 1 2/m 1'
_space_group_IT_number 10
loop_
_space_group_symop_operation_xyz
'x,y,z'
'-x,-y,-z'
'-x,y,-z'
'x,-y,z'
loop_
_atom_site_label
_atom_site_fract_x
_atom_site_fract_y
_atom_site_fract_z
_atom_site_occupancy
La1 0.000 0.000 0.000 1
Tb1 0.000 0.500 0.500 1
Dy1 0.500 0.000 0.500 1
Dy2 0.500 0.500 0.000 1
Bi1 0.255 0.000 0.747 1
Bi2 0.259 0.500 0.258 1
# Density in g/cm3: 9.1
# Raw total energy in eV per atom: -5.192
# Magnetic moment in μB per formula unit: 0.00
# Calculated formation energy in eV/atom: -0.91
# DOS(E_F) in states/eV/cell: 1.2

***

[11]
# PBE La3TbDy2Bi6, optimized geometry
data_La3TbDy2Bi6
_chemical_formula_sum 'La6 Tb2 Dy4 Bi12'
_cell_length_a 7.973
_cell_length_b 13.806
_cell_length_c 7.938
_cell_angle_alpha 90.00
_cell_angle_beta 109.54
_cell_angle_gamma 90.00
_space_group_name_H-M_alt 'C 1 2/m 1'
_space_group_IT_number 12
loop_
_space_group_symop_operation_xyz
'x,y,z'
'-x,-y,-z'
'-x,y,-z'
'x,-y,z'
'x+1/2,y+1/2,z'
'-x+1/2,-y+1/2,-z'
'-x+1/2,y+1/2,-z'
'x+1/2,-y+1/2,z'
loop_
_atom_site_label
_atom_site_fract_x
_atom_site_fract_y
_atom_site_fract_z
_atom_site_occupancy
La1 0.000 0.000 0.000 1
La2 0.000 0.334 0.000 1
Tb1 0.000 0.500 0.500 1
Dy1 0.000 0.167 0.500 1
Bi1 0.245 0.000 0.737 1
Bi2 0.246 0.333 0.738 1
# Density in g/cm3: 8.7
# Raw total energy in eV per atom: -5.284
# Magnetic moment in μB per formula unit: 0.00
# Calculated formation energy in eV/atom: -0.96
# DOS(E_F) in states/eV/cell: 4.5

***

[12]
# PBE LaTb2DyBi4, optimized geometry
data_LaTb2DyBi4
_chemical_formula_sum 'La1 Tb2 Dy1 Bi4'
_cell_length_a 7.867
_cell_length_b 4.550
_cell_length_c 7.870
_cell_angle_alpha 90.00
_cell_angle_beta 109.48
_cell_angle_gamma 90.00
_space_group_name_H-M_alt 'P 1 2/m 1'
_space_group_IT_number 10
loop_
_space_group_symop_operation_xyz
'x,y,z'
'-x,-y,-z'
'-x,y,-z'
'x,-y,z'
loop_
_atom_site_label
_atom_site_fract_x
_atom_site_fract_y
_atom_site_fract_z
_atom_site_occupancy
La1 0.000 0.000 0.000 1
Tb1 0.000 0.500 0.500 1
Tb2 0.500 0.000 0.500 1
Dy1 0.500 0.500 0.000 1
Bi1 0.255 0.000 0.747 1
Bi2 0.258 0.500 0.257 1
# Density in g/cm3: 9.1
# Raw total energy in eV per atom: -5.200
# Magnetic moment in μB per formula unit: 0.00
# Calculated formation energy in eV/atom: -0.91
# DOS(E_F) in states/eV/cell: 1.1